# In2BiS4

Crystalline In2BiS4 at its relaxed geometry (PBE, Alexandria via LeMat-Bulk).

Lattice parameters (Å, degrees): 7.980 8.175 11.431 90.00 90.00 90.00
Space group Imma (No. 74)
One atom of each set of equivalent atoms:
In 0.000 0.250 0.133 [4 per cell]
In 0.250 0.250 0.750 [4 per cell]
Bi 0.000 0.000 0.500 [4 per cell]
S 0.000 0.024 0.748 [8 per cell]
S 0.247 0.250 0.511 [8 per cell]

Results
V = 745.7 Å³ per cell
Energy = -28.767 eV per formula unit
ΔE to the lowest computed polymorph = 0 meV per atom
Uncorrected formation energy = -0.414 eV/atom
Total magnetic moment = 0.0 μB per formula unit

---

# K3AlAs2

Crystalline K3AlAs2 at its relaxed geometry (PBE, Alexandria via LeMat-Bulk).

Lattice parameters (Å, degrees): 9.165 12.296 15.611 72.70 72.96 72.30
Space group P-1 (No. 2)
One atom of each set of equivalent atoms:
K 0.013 0.375 0.083 [2 per cell]
K 0.020 0.425 0.655 [2 per cell]
K 0.035 0.085 0.245 [2 per cell]
K 0.156 0.081 0.808 [2 per cell]
K 0.182 0.912 0.479 [2 per cell]
K 0.279 0.251 0.880 [2 per cell]
K 0.305 0.765 0.181 [2 per cell]
K 0.318 0.401 0.193 [2 per cell]
K 0.329 0.624 0.475 [2 per cell]
K 0.340 0.576 0.743 [2 per cell]
K 0.473 0.901 0.648 [2 per cell]
K 0.485 0.107 0.087 [2 per cell]
Al 0.093 0.857 0.992 [2 per cell]
Al 0.138 0.269 0.447 [2 per cell]
Al 0.344 0.612 0.990 [2 per cell]
Al 0.352 0.217 0.576 [2 per cell]
As 0.021 0.700 0.657 [2 per cell]
As 0.089 0.661 0.108 [2 per cell]
As 0.137 0.123 0.592 [2 per cell]
As 0.173 0.015 0.039 [2 per cell]
As 0.282 0.780 0.855 [2 per cell]
As 0.344 0.369 0.432 [2 per cell]
As 0.405 0.409 0.959 [2 per cell]
As 0.490 0.836 0.315 [2 per cell]

Results
V = 1559.9 Å³ per cell
Formation energy from the elements = -0.522 eV/atom
Energy = -19.464 eV per formula unit
Total magnetic moment = 0.0 μB per formula unit

---

# Cs2KHfH6

Crystalline Cs2KHfH6 at its relaxed geometry (PBE, Alexandria via LeMat-Bulk).

Lattice parameters (Å, degrees): 6.575 9.300 6.575 90.00 90.00 90.00
Space group Pmmn (No. 59, origin choice 2)
One atom of each set of equivalent atoms:
Cs 0.250 0.000 0.250 [4 per cell]
K 0.250 0.250 0.750 [2 per cell]
Hf 0.250 0.750 0.749 [2 per cell]
H 0.033 0.750 0.963 [4 per cell]
H 0.036 0.750 0.533 [4 per cell]
H 0.250 0.535 0.751 [4 per cell]

Results
V = 402.1 Å³ per cell
Energy = -34.563 eV per formula unit
Total magnetic moment = 1.0 μB per formula unit

---

# AgAu2O

Crystalline AgAu2O at its relaxed geometry (PBE, Alexandria via LeMat-Bulk).

Lattice parameters (Å, degrees): 5.080 5.080 13.256 90.00 90.00 90.00
Space group I-42d (No. 122)
One atom of each set of equivalent atoms:
Ag 0.000 0.000 0.000 [4 per cell]
Au 0.117 0.250 0.625 [8 per cell]
O 0.000 0.000 0.500 [4 per cell]

Results
V = 342.1 Å³ per cell
Energy = -12.741 eV per formula unit
Uncorrected formation energy = 0.406 eV/atom
Total magnetic moment = 0.0 μB per formula unit

---

# InReRh6

Crystalline InReRh6 at its relaxed geometry (PBE, Alexandria via LeMat-Bulk).

Lattice parameters (Å, degrees): 3.892 3.892 7.867 90.00 90.00 90.00
Space group P4/mmm (No. 123)
One atom of each set of equivalent atoms:
In 0.000 0.000 0.000 [1 per cell]
Re 0.000 0.000 0.500 [1 per cell]
Rh 0.000 0.500 0.266 [4 per cell]
Rh 0.500 0.500 0.000 [1 per cell]
Rh 0.500 0.500 0.500 [1 per cell]

Results
V = 119.2 Å³ per cell
Formation energy from the elements = -0.175 eV/atom
Energy = -60.698 eV per formula unit
Total magnetic moment = 0.0 μB per formula unit

---

# HoAgHg3

Crystalline HoAgHg3 at its relaxed geometry (PBE, Alexandria via LeMat-Bulk).

Lattice parameters (Å, degrees): 5.075 5.088 9.146 90.00 105.86 90.00
Space group P2_1/m (No. 11)
One atom of each set of equivalent atoms:
Ho 0.150 0.250 0.303 [2 per cell]
Ag 0.343 0.250 0.686 [2 per cell]
Hg 0.051 0.750 0.101 [2 per cell]
Hg 0.250 0.750 0.498 [2 per cell]
Hg 0.448 0.750 0.894 [2 per cell]

Results
V = 227.2 Å³ per cell
Formation energy from the elements = -0.233 eV/atom
Energy = -9.501 eV per formula unit
ΔE to the lowest computed polymorph = 0 meV per atom
Total magnetic moment = 0.0 μB per formula unit

---

# TeMoOs2

Crystalline TeMoOs2 at its relaxed geometry (PBE, Alexandria via LeMat-Bulk).

Lattice parameters (Å, degrees): 3.014 3.014 7.221 90.00 90.00 90.00
Space group P4mm (No. 99)
One atom of each set of equivalent atoms:
Te 0.000 0.000 0.000 [1 per cell]
Mo 0.500 0.500 0.269 [1 per cell]
Os 0.000 0.000 0.500 [1 per cell]
Os 0.500 0.500 0.754 [1 per cell]

Results
V = 65.6 Å³ per cell
Energy = -34.077 eV per formula unit
Uncorrected formation energy = 0.589 eV/atom
Total magnetic moment = 0.0 μB per formula unit

---

# KCrNi4

Crystalline KCrNi4 at its relaxed geometry (PBE, Alexandria via LeMat-Bulk).

Lattice parameters (Å, degrees): 7.033 7.033 7.033 90.00 90.00 90.00
Space group F-43m (No. 216)
One atom of each set of equivalent atoms:
K 0.000 0.000 0.000 [4 per cell]
Cr 0.250 0.250 0.250 [4 per cell]
Ni 0.124 0.124 0.624 [16 per cell]

Results
V = 347.9 Å³ per cell
Formation energy from the elements = 0.590 eV/atom
Energy = -30.303 eV per formula unit
Total magnetic moment = 3.9 μB per formula unit

---

> What is the energy in the eighth record?

-30.303 eV per formula unit